Record 1
This record from Alexandria via LeMat-Bulk describes an optimized crystal structure of Hf2NbV. The functional is GGA-PBE.

```
data_Hf2NbV
_chemical_formula_sum 'Hf6 Nb3 V3'
_space_group_name_H-M_alt 'R -3 m'
_space_group_IT_number 166
_space_group_name_Hall '-R 3 2"'
_cell_length_a 3.0421
_cell_length_b 3.0421
_cell_length_c 29.0185
_cell_angle_alpha 90.00
_cell_angle_beta 90.00
_cell_angle_gamma 120.00
loop_
_atom_site_label
_atom_site_type_symbol
_atom_site_fract_x
_atom_site_fract_y
_atom_site_fract_z
Hf1 Hf 0.0000 0.0000 0.2456
Nb1 Nb 0.0000 0.0000 0.0000
V1 V 0.0000 0.0000 0.5000
```

## Properties
**Offset from the most stable computed form**: 156 meV per atom
**ΔH_f (0 K)**: 6.6 kcal/mol of atoms

Record 2
This record from Alexandria via LeMat-Bulk describes an optimized crystal structure of Pr3TmN4. The functional is GGA-PBE.

```
data_Pr3TmN4
_chemical_formula_sum 'Pr6 Tm2 N8'
_space_group_name_H-M_alt 'P 1 2/c 1'
_space_group_IT_number 13
_space_group_name_Hall '-P 2yc'
_cell_length_a 6.275
_cell_length_b 7.255
_cell_length_c 6.273
_cell_angle_alpha 90.00
_cell_angle_beta 109.47
_cell_angle_gamma 90.00
loop_
_atom_site_label
_atom_site_type_symbol
_atom_site_fract_x
_atom_site_fract_y
_atom_site_fract_z
Pr1 Pr 0.000 0.123 0.250
Pr2 Pr 0.000 0.370 0.750
Pr3 Pr 0.500 0.371 0.250
Tm1 Tm 0.500 0.125 0.750
N1 N 0.255 0.362 0.509
N2 N 0.262 0.122 0.997
```

## Properties
**Raw formation energy**: -1.3769 eV/atom

Record 3
This record from Alexandria via LeMat-Bulk describes an optimized crystal structure of K2Sb. The functional is GGA-PBE.

```
data_K2Sb
_chemical_formula_sum 'K8 Sb4'
_space_group_name_H-M_alt 'C 1 2/m 1'
_space_group_IT_number 12
_space_group_name_Hall '-C 2y'
_cell_length_a 19.307
_cell_length_b 4.701
_cell_length_c 6.966
_cell_angle_alpha 90.00
_cell_angle_beta 104.78
_cell_angle_gamma 90.00
loop_
_atom_site_label
_atom_site_type_symbol
_atom_site_fract_x
_atom_site_fract_y
_atom_site_fract_z
K1 K 0.083 0.000 0.304
K2 K 0.158 0.500 0.821
Sb1 Sb 0.232 0.500 0.367
```

## Properties
**Offset from the most stable computed form**: 125 meV per atom
**Raw formation energy**: -0.2816 eV/atom

Record 4
This record from Alexandria via LeMat-Bulk describes an optimized crystal structure of MnCoCu2. The functional is GGA-PBE.

```
data_MnCoCu2
_chemical_formula_sum 'Mn2 Co2 Cu4'
_space_group_name_H-M_alt 'C 1 2/m 1'
_space_group_IT_number 12
_space_group_name_Hall '-C 2y'
_cell_length_a 8.781
_cell_length_b 2.713
_cell_length_c 4.189
_cell_angle_alpha 90.00
_cell_angle_beta 104.53
_cell_angle_gamma 90.00
loop_
_atom_site_label
_atom_site_type_symbol
_atom_site_fract_x
_atom_site_fract_y
_atom_site_fract_z
Mn1 Mn 0.000 0.000 0.000
Co1 Co 0.000 0.500 0.500
Cu1 Cu 0.246 0.000 0.744
```

## Properties
**ΔH_f (0 K)**: 3.3 kcal/mol of atoms

Record 5
This record from Alexandria via LeMat-Bulk describes an optimized crystal structure of LiPm2Pb3S6. The functional is GGA-PBE.

```
data_LiPm2Pb3S6
_chemical_formula_sum 'Li2 Pm4 Pb6 S12'
_space_group_name_H-M_alt 'C 1 2/m 1'
_space_group_IT_number 12
_space_group_name_Hall '-C 2y'
_cell_length_a 18.130
_cell_length_b 4.206
_cell_length_c 8.243
_cell_angle_alpha 90.00
_cell_angle_beta 105.49
_cell_angle_gamma 90.00
loop_
_atom_site_label
_atom_site_type_symbol
_atom_site_fract_x
_atom_site_fract_y
_atom_site_fract_z
Li1 Li 0.000 0.000 0.000
Pm1 Pm 0.163 0.500 0.325
Pb1 Pb 0.000 0.000 0.500
Pb2 Pb 0.159 0.500 0.851
S1 S 0.005 0.500 0.240
S2 S 0.162 0.000 0.089
S3 S 0.172 0.000 0.568
```

## Properties
**Raw formation energy**: -1.1383 eV/atom

Record 6
This record from Alexandria via LeMat-Bulk describes an optimized crystal structure of CaLaHg. The functional is GGA-PBE.

```
data_CaLaHg
_chemical_formula_sum 'Ca3 La3 Hg3'
_space_group_name_H-M_alt 'P -6 2 m'
_space_group_IT_number 189
_space_group_name_Hall 'P -6 -2'
_cell_length_a 9.0293
_cell_length_b 9.0293
_cell_length_c 4.0716
_cell_angle_alpha 90.00
_cell_angle_beta 90.00
_cell_angle_gamma 120.00
loop_
_atom_site_label
_atom_site_type_symbol
_atom_site_fract_x
_atom_site_fract_y
_atom_site_fract_z
Ca1 Ca 0.0000 0.7343 0.0000
La1 La 0.0000 0.3927 0.5000
Hg1 Hg 0.0000 0.0000 0.5000
Hg2 Hg 0.3333 0.6667 0.0000
```

## Properties
**Offset from the most stable computed form**: 38 meV per atom
**ΔH_f (0 K)**: -7.2 kcal/mol of atoms

Record 7
This record from Alexandria via LeMat-Bulk describes an optimized crystal structure of LaDy5YHo2. The functional is GGA-PBE.

```
data_LaDy5YHo2
_chemical_formula_sum 'La4 Dy20 Y4 Ho8'
_space_group_name_H-M_alt 'I 4/m c m'
_space_group_IT_number 140
_space_group_name_Hall '-I 4 2c'
_cell_length_a 9.054
_cell_length_b 9.054
_cell_length_c 14.560
_cell_angle_alpha 90.00
_cell_angle_beta 90.00
_cell_angle_gamma 90.00
loop_
_atom_site_label
_atom_site_type_symbol
_atom_site_fract_x
_atom_site_fract_y
_atom_site_fract_z
La1 La 0.000 0.000 0.250
Dy1 Dy 0.000 0.000 0.000
Dy2 Dy 0.204 0.296 0.128
Y1 Y 0.000 0.500 0.250
Ho1 Ho 0.111 0.389 0.500
```

## Properties
**ΔH_f (0 K)**: 6.7 kcal/mol of atoms

Record 8
This record from Alexandria via LeMat-Bulk describes an optimized crystal structure of KMgCdBi2. The functional is GGA-PBE.

```
data_KMgCdBi2
_chemical_formula_sum 'K2 Mg2 Cd2 Bi4'
_space_group_name_H-M_alt 'I -4 m 2'
_space_group_IT_number 119
_space_group_name_Hall 'I -4 -2'
_cell_length_a 4.772
_cell_length_b 4.772
_cell_length_c 14.503
_cell_angle_alpha 90.00
_cell_angle_beta 90.00
_cell_angle_gamma 90.00
loop_
_atom_site_label
_atom_site_type_symbol
_atom_site_fract_x
_atom_site_fract_y
_atom_site_fract_z
K1 K 0.000 0.000 0.000
Mg1 Mg 0.000 0.500 0.250
Cd1 Cd 0.000 0.500 0.750
Bi1 Bi 0.000 0.000 0.379
```

## Properties
**Offset from the most stable computed form**: 0 meV per atom
**ΔH_f (0 K)**: -6.3 kcal/mol of atoms

Record 9
This record from Alexandria via LeMat-Bulk describes an optimized crystal structure of Cu2PPb. The functional is GGA-PBE.

```
data_Cu2PPb
_chemical_formula_sum 'Cu4 P2 Pb2'
_space_group_name_H-M_alt 'P 4/n m m'
_space_group_IT_number 129
_cell_length_a 3.969
_cell_length_b 3.969
_cell_length_c 9.168
_cell_angle_alpha 90.00
_cell_angle_beta 90.00
_cell_angle_gamma 90.00
loop_
_space_group_symop_operation_xyz
'x,y,z'
'-x,-y,-z'
'-y+1/2,x,z'
'y+1/2,-x,-z'
'-x+1/2,-y+1/2,z'
'x+1/2,y+1/2,-z'
'y,-x+1/2,z'
'-y,x+1/2,-z'
'x+1/2,-y,-z'
'-x+1/2,y,z'
'-y,-x,-z'
'y,x,z'
'-x,y+1/2,-z'
'x,-y+1/2,z'
'y+1/2,x+1/2,-z'
'-y+1/2,-x+1/2,z'
loop_
_atom_site_label
_atom_site_type_symbol
_atom_site_fract_x
_atom_site_fract_y
_atom_site_fract_z
Cu1 Cu 0.250 0.250 0.093
Cu2 Cu 0.250 0.750 0.500
P1 P 0.250 0.250 0.350
Pb1 Pb 0.250 0.250 0.795
```

## Properties
**ΔH_f (0 K)**: 3.9 kcal/mol of atoms

Record 10
This record from Alexandria via LeMat-Bulk describes an optimized crystal structure of VCuRu3. The functional is GGA-PBE.

```
data_VCuRu3
_chemical_formula_sum 'V1 Cu1 Ru3'
_space_group_name_H-M_alt 'P m -3 m'
_space_group_IT_number 221
_space_group_name_Hall '-P 4 2 3'
_cell_length_a 4.408
_cell_length_b 4.408
_cell_length_c 4.408
_cell_angle_alpha 90.00
_cell_angle_beta 90.00
_cell_angle_gamma 90.00
loop_
_atom_site_label
_atom_site_type_symbol
_atom_site_fract_x
_atom_site_fract_y
_atom_site_fract_z
V1 V 0.000 0.000 0.000
Cu1 Cu 0.500 0.500 0.500
Ru1 Ru 0.000 0.500 0.500
```

## Properties
**Offset from the most stable computed form**: 292 meV per atom
**ΔH_f (0 K)**: 36.1 kcal/mol of atoms

Record 11
This record from Alexandria via LeMat-Bulk describes an optimized crystal structure of Nd3PSe2. The functional is GGA-PBE.

```
data_Nd3PSe2
_chemical_formula_sum 'Nd12 P4 Se8'
_space_group_name_H-M_alt 'C 1 2/c 1'
_space_group_IT_number 15
_space_group_name_Hall '-C 2yc'
_cell_length_a 7.339
_cell_length_b 12.620
_cell_length_c 7.274
_cell_angle_alpha 90.00
_cell_angle_beta 109.62
_cell_angle_gamma 90.00
loop_
_atom_site_label
_atom_site_type_symbol
_atom_site_fract_x
_atom_site_fract_y
_atom_site_fract_z
Nd1 Nd 0.230 0.077 0.001
Nd2 Nd 0.250 0.250 0.500
P1 P 0.000 0.086 0.250
Se1 Se 0.000 0.253 0.750
Se2 Se 0.000 0.417 0.250
```

## Properties
**Offset from the most stable computed form**: 5 meV per atom
**Raw formation energy**: -1.8037 eV/atom

Record 12
This record from Alexandria via LeMat-Bulk describes an optimized crystal structure of Np2Be3Si4Rh. The functional is GGA-PBE.

```
data_Np2Be3Si4Rh
_chemical_formula_sum 'Np2 Be3 Si4 Rh1'
_space_group_name_H-M_alt 'P -4 m 2'
_space_group_IT_number 115
_space_group_name_Hall 'P -4 -2'
_cell_length_a 3.894
_cell_length_b 3.894
_cell_length_c 9.700
_cell_angle_alpha 90.00
_cell_angle_beta 90.00
_cell_angle_gamma 90.00
loop_
_atom_site_label
_atom_site_type_symbol
_atom_site_fract_x
_atom_site_fract_y
_atom_site_fract_z
Np1 Np 0.000 0.500 0.238
Be1 Be 0.000 0.500 0.872
Be2 Be 0.500 0.500 0.500
Si1 Si 0.000 0.000 0.000
Si2 Si 0.000 0.500 0.641
Si3 Si 0.500 0.500 0.000
Rh1 Rh 0.000 0.000 0.500
```

## Properties
**Raw formation energy**: -0.3299 eV/atom

The evaluated E for the records listed, in turn: -9.49 -7.89 -2.39 -5.97 -5.08 -2.72 -4.55 -2.55 -4.16 -6.64 -6.25 -6.94 eV/atom.
The evaluated total magnetic moment for the records listed, in turn: 0.01 0.00 0.00 4.86 0.00 0.00 0.00 0.00 0.00 0.05 0.00 7.67 μB/f.u..